First-principles (PBE) data for a relaxed structure of Sn4Ir2Rh, as listed in Alexandria.

Cell lengths 13.512, 3.121, 13.580 Å; angles 90.00, 90.00, 90.00 degrees
Space group Pnma (No. 62)
Symmetry-distinct sites (fractional):
Sn (0.038, 0.250, 0.100)
Sn (0.055, 0.750, 0.358)
Sn (0.173, 0.750, 0.738)
Sn (0.247, 0.250, 0.520)
Ir (0.083, 0.750, 0.555)
Ir (0.164, 0.750, 0.199)
Rh (0.129, 0.250, 0.904)

Computed properties:
The spin magnetization is 0.00 μB/atom. The calculation puts the formation energy at -126 kJ/mol of formula units. The calculation puts the calculated volume at 573 Å³/cell.

---

First-principles (PBE) data for a relaxed structure of CaSnRh2, as listed in Alexandria.

Cell lengths 3.344, 3.344, 6.637 Å; angles 90.00, 90.00, 90.00 degrees
Space group P4/mmm (No. 123)
Symmetry-distinct sites (fractional):
Ca (0.000, 0.000, 0.000)
Sn (0.000, 0.000, 0.500)
Rh (0.500, 0.500, 0.281)

Computed properties:
The spin magnetization is 0.00 μB/atom. The calculation puts the formation energy at -187 kJ/mol of formula units. The calculation puts the calculated volume at 74 Å³/cell.